[1]
## LaSc2ZnO (PBE)

Data for a geometry-optimized LaSc2ZnO structure.

extended XYZ file:
```
5
Lattice="-3.354 -2.920 -0.577 1.844 -1.356 -3.856 2.577 -3.442 2.443" Properties=species:S:1:pos:R:3 pbc="T T T"
Sc 0.922 -0.678 -1.928
Sc -1.677 -1.460 -0.289
Zn 0.534 -3.859 -0.995
O 0.000 0.000 0.000
La 1.288 -1.721 1.222
```

Output
For the density of states at the Fermi level, the calculation gives 3.825 states/eV per cell. For the raw formation energy, the calculation gives -1.229 eV/atom. Its energy above the most stable polymorph in this dataset is 0.00 eV per formula unit. The total energy comes out at -5.99 eV/atom. The value obtained for the size of the total moment is 0.00 Bohr magnetons per cell.

---

[2]
## La2ScZnO (PBE)

Data for a geometry-optimized La2ScZnO structure.

extended XYZ file:
```
5
Lattice="5.212 0.000 0.000 0.000 5.212 0.000 0.000 0.000 4.214" Properties=species:S:1:pos:R:3 pbc="T T T"
Sc 0.000 0.000 2.107
Zn 2.606 2.606 2.107
O 0.000 0.000 0.000
La 0.000 2.606 0.000
La 2.606 0.000 0.000
```

Output
For the density of states at the Fermi level, the calculation gives 5.688 states/eV per cell. For the raw formation energy, the calculation gives -1.267 eV/atom. The total energy comes out at -5.75 eV/atom. The value obtained for the size of the total moment is 0.00 Bohr magnetons per cell.

---

[3]
## LaSc2ZnO (PBE)

Data for a geometry-optimized LaSc2ZnO structure.

extended XYZ file:
```
5
Lattice="4.897 0.000 0.000 0.000 5.846 0.000 0.000 0.000 4.897" Properties=species:S:1:pos:R:3 pbc="T T T"
Sc 0.000 0.000 2.448
Sc 2.448 0.000 0.000
Zn 0.000 0.000 0.000
O 2.448 2.923 2.448
La 0.000 2.923 0.000
```

Output
For the density of states at the Fermi level, the calculation gives 5.218 states/eV per cell. For the raw formation energy, the calculation gives 0.317 eV/atom. Its energy above the most stable polymorph in this dataset is 7.73 eV per formula unit. The total energy comes out at -4.45 eV/atom. The value obtained for the size of the total moment is 0.00 Bohr magnetons per cell.

---

[4]
## LaZrSc2O (PBE)

Data for a geometry-optimized LaZrSc2O structure.

extended XYZ file:
```
5
Lattice="-0.178 0.979 4.356 -2.855 -3.376 0.642 4.002 -3.217 0.886" Properties=species:S:1:pos:R:3 pbc="T T T"
Sc -1.428 -1.688 0.321
Sc -0.089 0.489 2.178
O 0.000 0.000 0.000
Zr 0.485 -2.807 2.942
La 2.001 -1.608 0.443
```

Output
For the density of states at the Fermi level, the calculation gives 8.772 states/eV per cell. For the raw formation energy, the calculation gives -1.098 eV/atom. The total energy comes out at -7.32 eV/atom. The value obtained for the size of the total moment is 0.00 Bohr magnetons per cell.

---

[5]
## La2SeO (PBE)

Data for a geometry-optimized La2SeO structure.

extended XYZ file:
```
16
Lattice="-0.516 3.823 4.647 -3.770 -3.679 2.609 8.540 -4.828 4.919" Properties=species:S:1:pos:R:3 pbc="T T T"
La 7.251 -1.351 8.073
La -2.997 -3.333 4.102
La 2.865 -1.733 7.900
La 1.389 -2.951 4.275
La -0.965 0.559 5.595
La 5.219 -5.244 6.580
La 2.540 1.190 5.465
La 1.714 -5.874 6.710
Se 3.024 -0.734 3.157
Se 1.231 -3.951 9.018
Se -0.930 -1.359 3.233
Se 5.184 -3.325 8.942
O 3.180 -4.369 5.397
O 1.074 -0.315 6.777
O 3.784 -6.979 7.611
O 0.470 2.295 4.563
```

Output
For the density of states at the Fermi level, the calculation gives 10.668 states/eV per cell. For the raw formation energy, the calculation gives -2.223 eV/atom. Its energy above the most stable polymorph in this dataset is 0.49 eV per formula unit. The total energy comes out at -6.80 eV/atom. The value obtained for the size of the total moment is 0.00 Bohr magnetons per cell.

---

[6]
## La2SeO (PBE)

Data for a geometry-optimized La2SeO structure.

extended XYZ file:
```
4
Lattice="3.821 0.000 0.000 1.911 3.310 0.000 1.911 1.103 7.208" Properties=species:S:1:pos:R:3 pbc="T T T"
La 1.911 1.103 5.216
La 1.911 1.103 1.951
Se 5.732 3.310 7.186
O 3.821 2.206 3.666
```

Output
For the density of states at the Fermi level, the calculation gives 2.412 states/eV per cell. For the raw formation energy, the calculation gives -2.093 eV/atom. Its energy above the most stable polymorph in this dataset is 1.01 eV per formula unit. The total energy comes out at -6.67 eV/atom. The value obtained for the size of the total moment is 0.00 Bohr magnetons per cell.

---

[7]
## La3Se2O2 (PBE)

Data for a geometry-optimized La3Se2O2 structure.

extended XYZ file:
```
14
Lattice="7.116 0.000 -0.329 0.000 7.694 0.000 2.910 0.000 6.155" Properties=species:S:1:pos:R:3 pbc="T T T"
La 3.558 3.847 -0.164
La 0.000 0.000 0.000
La 7.033 0.971 3.282
La 6.551 4.818 2.380
La 3.475 2.877 3.446
La 2.993 6.724 2.545
Se 8.924 5.004 4.572
Se 5.365 6.538 4.737
Se 4.661 1.157 1.090
Se 1.103 2.691 1.254
O 5.835 2.997 3.870
O 7.750 6.845 1.792
O 2.277 0.850 4.035
O 4.192 4.697 1.956
```

Output
For the density of states at the Fermi level, the calculation gives 9.755 states/eV per cell. For the raw formation energy, the calculation gives -2.611 eV/atom. Its energy above the most stable polymorph in this dataset is 0.75 eV per formula unit. The total energy comes out at -7.14 eV/atom. The value obtained for the size of the total moment is 0.02 Bohr magnetons per cell.

---

[8]
## LaSeO2 (PBE)

Data for a geometry-optimized LaSeO2 structure.

extended XYZ file:
```
8
Lattice="4.508 0.000 0.000 0.000 4.508 0.000 2.254 2.254 7.130" Properties=species:S:1:pos:R:3 pbc="T T T"
O 3.333 1.127 1.783
O 1.175 3.381 1.783
O 3.381 3.429 5.348
O 5.635 5.587 5.348
Se 2.254 2.254 0.000
Se 2.254 4.508 3.565
La 0.000 0.000 0.000
La 4.508 2.254 3.565
```

Output
For the density of states at the Fermi level, the calculation gives 3.599 states/eV per cell. For the raw formation energy, the calculation gives -1.521 eV/atom. The total energy comes out at -6.10 eV/atom. The value obtained for the size of the total moment is 0.00 Bohr magnetons per cell.